(1)
Below is an optimized crystal structure of Pr8ZnS3I4, with properties calculated at the PBE-GGA level.

Cell lengths 9.218, 9.218, 9.218 Å; angles 54.47, 54.47, 54.47 degrees
Positions (direct):
Pr1 0.222 0.735 0.735
Pr2 0.228 0.228 0.228
Pr3 0.265 0.265 0.778
Pr4 0.265 0.778 0.265
Pr5 0.735 0.222 0.735
Pr6 0.735 0.735 0.222
Pr7 0.772 0.772 0.772
Pr8 0.778 0.265 0.265
Zn1 0.500 0.500 0.500
S1 0.000 0.000 0.500
S2 0.000 0.500 0.000
S3 0.500 0.000 0.000
I1 0.000 0.000 0.000
I2 0.000 0.500 0.500
I3 0.500 0.000 0.500
I4 0.500 0.500 0.000

Values from the calculation:
calculated volume = 483 Å³/cell
electronic total energy = -4.902 eV/atom
magnetic moment = 0.000 μB per cell
uncorrected formation energy = -1.271 eV/atom

=====

(2)
Below is an optimized crystal structure of Pr8Zn3SI4, with properties calculated at the PBE-GGA level.

Cell lengths 9.390, 9.390, 9.390 Å; angles 53.57, 53.57, 53.57 degrees
Positions (direct):
Pr1 0.238 0.238 0.238
Pr2 0.248 0.729 0.729
Pr3 0.271 0.271 0.752
Pr4 0.271 0.752 0.271
Pr5 0.729 0.248 0.729
Pr6 0.729 0.729 0.248
Pr7 0.752 0.271 0.271
Pr8 0.762 0.762 0.762
Zn1 0.000 0.000 0.500
Zn2 0.000 0.500 0.000
Zn3 0.500 0.000 0.000
S1 0.500 0.500 0.500
I1 0.000 0.000 0.000
I2 0.000 0.500 0.500
I3 0.500 0.000 0.500
I4 0.500 0.500 0.000

Values from the calculation:
calculated volume = 498 Å³/cell
electronic total energy = -4.088 eV/atom
magnetic moment = 0.000 μB per cell
uncorrected formation energy = -0.814 eV/atom

=====

(3)
Below is an optimized crystal structure of Pr3SbI3, with properties calculated at the PBE-GGA level.

Cell lengths 6.386, 6.386, 6.386 Å; angles 102.57, 102.57, 102.57 degrees
Positions (direct):
Pr1 0.019 0.490 0.490
Pr2 0.490 0.019 0.490
Pr3 0.490 0.490 0.019
Sb1 0.541 0.541 0.541
I1 0.330 0.940 0.940
I2 0.940 0.330 0.940
I3 0.940 0.940 0.330

Values from the calculation:
calculated volume = 238 Å³/cell
electronic total energy = -4.370 eV/atom
magnetic moment = 0.000 μB per cell
uncorrected formation energy = -1.068 eV/atom

=====

(4)
Below is an optimized crystal structure of Pr6Sb5I, with properties calculated at the PBE-GGA level.

Cell lengths 7.918, 7.918, 7.897 Å; angles 99.61, 99.61, 119.90 degrees
Positions (direct):
Pr1 0.064 0.413 0.741
Pr2 0.236 0.236 0.256
Pr3 0.413 0.064 0.741
Pr4 0.587 0.936 0.259
Pr5 0.764 0.764 0.744
Pr6 0.936 0.587 0.259
Sb1 0.000 0.000 0.500
Sb2 0.168 0.832 0.000
Sb3 0.339 0.661 0.500
Sb4 0.661 0.339 0.500
Sb5 0.832 0.168 0.000
I1 0.500 0.500 0.000

Values from the calculation:
calculated volume = 405 Å³/cell
electronic total energy = -5.430 eV/atom
magnetic moment = 0.000 μB per cell
uncorrected formation energy = -1.193 eV/atom

=====

(5)
Below is an optimized crystal structure of Pr3Sb2I, with properties calculated at the PBE-GGA level.

Cell lengths 7.306, 7.306, 11.332 Å; angles 90.00, 90.00, 135.47 degrees
Positions (direct):
Pr1 0.098 0.902 0.750
Pr2 0.374 0.626 0.519
Pr3 0.374 0.626 0.981
Pr4 0.626 0.374 0.019
Pr5 0.626 0.374 0.481
Pr6 0.902 0.098 0.250
Sb1 0.000 0.000 0.000
Sb2 0.000 0.000 0.500
Sb3 0.496 0.504 0.750
Sb4 0.504 0.496 0.250
I1 0.232 0.768 0.250
I2 0.768 0.232 0.750

Values from the calculation:
calculated volume = 424 Å³/cell
electronic total energy = -4.729 eV/atom
magnetic moment = 0.000 μB per cell
uncorrected formation energy = -0.706 eV/atom

=====

(6)
Below is an optimized crystal structure of Pr2SbI3, with properties calculated at the PBE-GGA level.

Cell lengths 9.831, 9.831, 14.060 Å; angles 123.19, 123.19, 28.03 degrees
Positions (direct):
Pr1 0.106 0.106 0.448
Pr2 0.363 0.363 0.174
Pr3 0.637 0.637 0.826
Pr4 0.894 0.894 0.552
Sb1 0.092 0.092 0.662
Sb2 0.908 0.908 0.338
I1 0.159 0.159 0.015
I2 0.262 0.262 0.394
I3 0.443 0.443 0.746
I4 0.557 0.557 0.254
I5 0.738 0.738 0.606
I6 0.841 0.841 0.985

Values from the calculation:
calculated volume = 527 Å³/cell
electronic total energy = -4.277 eV/atom
magnetic moment = 0.000 μB per cell
uncorrected formation energy = -1.221 eV/atom

=====

(7)
Below is an optimized crystal structure of Pr2SbI, with properties calculated at the PBE-GGA level.

Cell lengths 3.939, 3.939, 7.965 Å; angles 90.00, 90.00, 90.00 degrees
Positions (direct):
Pr1 0.000 0.000 0.226
Pr2 0.000 0.000 0.774
Sb1 0.500 0.500 0.000
I1 0.500 0.500 0.500

Values from the calculation:
calculated volume = 124 Å³/cell
electronic total energy = -4.777 eV/atom
magnetic moment = 0.955 μB per cell
uncorrected formation energy = -0.969 eV/atom

=====

(8)
Below is an optimized crystal structure of Pr2SbI, with properties calculated at the PBE-GGA level.

Cell lengths 8.134, 4.338, 15.293 Å; angles 90.00, 90.00, 90.00 degrees
Positions (direct):
Pr1 0.156 0.250 0.236
Pr2 0.187 0.750 0.996
Pr3 0.313 0.250 0.496
Pr4 0.344 0.750 0.736
Pr5 0.656 0.250 0.264
Pr6 0.687 0.750 0.504
Pr7 0.813 0.250 0.004
Pr8 0.844 0.750 0.764
Sb1 0.095 0.250 0.847
Sb2 0.405 0.750 0.347
Sb3 0.595 0.250 0.653
Sb4 0.905 0.750 0.153
I1 0.072 0.750 0.592
I2 0.428 0.250 0.092
I3 0.572 0.750 0.908
I4 0.928 0.250 0.408

Values from the calculation:
calculated volume = 540 Å³/cell
electronic total energy = -4.913 eV/atom
magnetic moment = 0.000 μB per cell
uncorrected formation energy = -1.105 eV/atom

=====

(9)
Below is an optimized crystal structure of Pr3SbI3, with properties calculated at the PBE-GGA level.

Cell lengths 12.490, 12.490, 12.490 Å; angles 35.72, 35.72, 35.72 degrees
Positions (direct):
Pr1 0.120 0.450 0.781
Pr2 0.219 0.880 0.550
Pr3 0.450 0.781 0.120
Pr4 0.550 0.219 0.880
Pr5 0.781 0.120 0.450
Pr6 0.880 0.550 0.219
Sb1 0.167 0.167 0.167
Sb2 0.833 0.833 0.833
I1 0.055 0.729 0.392
I2 0.271 0.608 0.945
I3 0.392 0.055 0.729
I4 0.608 0.945 0.271
I5 0.729 0.392 0.055
I6 0.945 0.271 0.608

Values from the calculation:
calculated volume = 594 Å³/cell
electronic total energy = -4.480 eV/atom
magnetic moment = 0.000 μB per cell
uncorrected formation energy = -1.178 eV/atom

=====

(10)
Below is an optimized crystal structure of Pr4Sb2I3, with properties calculated at the PBE-GGA level.

Cell lengths 4.535, 4.535, 19.164 Å; angles 90.05, 90.05, 60.00 degrees
Positions (direct):
Pr1 0.001 0.001 0.293
Pr2 0.334 0.334 0.115
Pr3 0.666 0.666 0.885
Pr4 0.999 0.999 0.707
Sb1 0.333 0.333 0.798
Sb2 0.667 0.667 0.202
I1 0.000 0.000 0.000
I2 0.334 0.334 0.398
I3 0.666 0.666 0.602

Values from the calculation:
calculated volume = 341 Å³/cell
electronic total energy = -4.776 eV/atom
magnetic moment = 0.000 μB per cell
uncorrected formation energy = -1.219 eV/atom

=====

(11)
Below is an optimized crystal structure of Pr4SbI5, with properties calculated at the PBE-GGA level.

Cell lengths 10.123, 10.123, 9.290 Å; angles 101.71, 101.71, 25.28 degrees
Positions (direct):
Pr1 0.000 0.000 0.227
Pr2 0.000 0.000 0.773
Pr3 0.344 0.344 0.928
Pr4 0.656 0.656 0.072
Sb1 0.500 0.500 0.000
I1 0.168 0.168 0.330
I2 0.171 0.171 0.820
I3 0.500 0.500 0.500
I4 0.829 0.829 0.180
I5 0.832 0.832 0.670

Values from the calculation:
calculated volume = 398 Å³/cell
electronic total energy = -4.352 eV/atom
magnetic moment = 0.000 μB per cell
uncorrected formation energy = -1.253 eV/atom

=====

(12)
Below is an optimized crystal structure of Pr2SbI, with properties calculated at the PBE-GGA level.

Cell lengths 4.436, 4.436, 24.184 Å; angles 90.00, 90.00, 120.00 degrees
Positions (direct):
Pr1 0.000 0.000 0.000
Pr2 0.000 0.000 0.189
Pr3 0.333 0.667 0.667
Pr4 0.333 0.667 0.855
Pr5 0.667 0.333 0.333
Pr6 0.667 0.333 0.522
Sb1 0.000 0.000 0.593
Sb2 0.333 0.667 0.260
Sb3 0.667 0.333 0.927
I1 0.000 0.000 0.762
I2 0.333 0.667 0.429
I3 0.667 0.333 0.095

Values from the calculation:
calculated volume = 412 Å³/cell
electronic total energy = -4.893 eV/atom
magnetic moment = 0.000 μB per cell
uncorrected formation energy = -1.085 eV/atom

=====

(13)
Below is an optimized crystal structure of Pr3Sb2I2, with properties calculated at the PBE-GGA level.

Cell lengths 14.961, 4.506, 8.016 Å; angles 90.00, 99.63, 90.00 degrees
Positions (direct):
Pr1 0.000 0.000 0.000
Pr2 0.248 0.000 0.776
Pr3 0.252 0.500 0.224
Pr4 0.500 0.500 0.000
Pr5 0.748 0.500 0.776
Pr6 0.752 0.000 0.224
Sb1 0.120 0.500 0.868
Sb2 0.380 0.000 0.132
Sb3 0.620 0.000 0.868
Sb4 0.880 0.500 0.132
I1 0.124 0.000 0.382
I2 0.376 0.500 0.618
I3 0.624 0.500 0.382
I4 0.876 0.000 0.618

Values from the calculation:
calculated volume = 533 Å³/cell
electronic total energy = -4.835 eV/atom
magnetic moment = 0.000 μB per cell
uncorrected formation energy = -1.166 eV/atom

=====

(14)
Below is an optimized crystal structure of PrSbI, with properties calculated at the PBE-GGA level.

Cell lengths 3.975, 3.975, 12.804 Å; angles 90.00, 90.00, 90.00 degrees
Positions (direct):
Pr1 0.250 0.250 0.204
Pr2 0.750 0.750 0.796
Sb1 0.250 0.250 0.937
Sb2 0.750 0.750 0.063
I1 0.250 0.250 0.645
I2 0.750 0.750 0.355

Values from the calculation:
calculated volume = 202 Å³/cell
electronic total energy = -4.472 eV/atom
relative energy among the computed polymorphs = 0.00 eV per formula unit
magnetic moment = 0.000 μB per cell
uncorrected formation energy = -0.988 eV/atom

=====

(15)
Below is an optimized crystal structure of Pr5Sb4I, with properties calculated at the PBE-GGA level.

Cell lengths 7.914, 7.914, 7.914 Å; angles 99.53, 99.53, 131.99 degrees
Positions (direct):
Pr1 0.000 0.000 0.000
Pr2 0.185 0.396 0.581
Pr3 0.396 0.815 0.211
Pr4 0.604 0.185 0.789
Pr5 0.815 0.604 0.419
Sb1 0.104 0.703 0.808
Sb2 0.297 0.104 0.401
Sb3 0.703 0.896 0.599
Sb4 0.896 0.297 0.192
I1 0.500 0.500 0.000

Values from the calculation:
calculated volume = 337 Å³/cell
electronic total energy = -5.369 eV/atom
magnetic moment = 0.000 μB per cell
uncorrected formation energy = -1.175 eV/atom

=====

(16)
Below is an optimized crystal structure of PrSbI, with properties calculated at the PBE-GGA level.

Cell lengths 4.185, 4.185, 10.646 Å; angles 90.00, 90.00, 90.00 degrees
Positions (direct):
Pr1 0.000 0.000 0.000
Pr2 0.500 0.500 0.500
Sb1 0.000 0.000 0.645
Sb2 0.500 0.500 0.145
I1 0.000 0.000 0.332
I2 0.500 0.500 0.832

Values from the calculation:
calculated volume = 186 Å³/cell
electronic total energy = -4.226 eV/atom
relative energy among the computed polymorphs = 0.74 eV per formula unit
magnetic moment = 0.000 μB per cell
uncorrected formation energy = -0.742 eV/atom

=====

(17)
Below is an optimized crystal structure of Pr2SbI, with properties calculated at the PBE-GGA level.

Cell lengths 7.858, 7.858, 7.858 Å; angles 90.00, 90.00, 90.00 degrees
Positions (direct):
Pr1 0.250 0.250 0.250
Pr2 0.250 0.250 0.750
Pr3 0.250 0.750 0.250
Pr4 0.250 0.750 0.750
Pr5 0.750 0.250 0.250
Pr6 0.750 0.250 0.750
Pr7 0.750 0.750 0.250
Pr8 0.750 0.750 0.750
Sb1 0.000 0.000 0.000
Sb2 0.000 0.500 0.500
Sb3 0.500 0.000 0.500
Sb4 0.500 0.500 0.000
I1 0.000 0.000 0.500
I2 0.000 0.500 0.000
I3 0.500 0.000 0.000
I4 0.500 0.500 0.500

Values from the calculation:
calculated volume = 485 Å³/cell
electronic total energy = -4.803 eV/atom
magnetic moment = 0.106 μB per cell
uncorrected formation energy = -0.995 eV/atom

=====

(18)
Below is an optimized crystal structure of Pr3SbI7, with properties calculated at the PBE-GGA level.

Cell lengths 9.326, 9.326, 7.185 Å; angles 90.00, 90.00, 120.00 degrees
Positions (direct):
Pr1 0.005 0.503 0.000
Pr2 0.497 0.503 0.000
Pr3 0.497 0.995 0.000
Sb1 0.333 0.667 0.234
I1 0.176 0.352 0.744
I2 0.176 0.824 0.744
I3 0.342 0.171 0.233
I4 0.648 0.824 0.744
I5 0.667 0.333 0.739
I6 0.829 0.171 0.233
I7 0.829 0.658 0.233

Values from the calculation:
calculated volume = 541 Å³/cell
electronic total energy = -3.855 eV/atom
magnetic moment = 1.062 μB per cell
uncorrected formation energy = -1.191 eV/atom

=====

(19)
Below is an optimized crystal structure of Pr4SbSeI2, with properties calculated at the PBE-GGA level.

Cell lengths 7.669, 4.518, 8.118 Å; angles 90.00, 109.30, 90.00 degrees
Positions (direct):
Pr1 0.212 0.000 0.197
Pr2 0.243 0.500 0.795
Pr3 0.757 0.500 0.205
Pr4 0.788 0.000 0.803
Sb1 0.500 0.000 0.000
Se1 0.000 0.500 0.000
I1 0.000 0.000 0.500
I2 0.500 0.500 0.500

Values from the calculation:
calculated volume = 265 Å³/cell
electronic total energy = -4.949 eV/atom
magnetic moment = 0.000 μB per cell
uncorrected formation energy = -1.221 eV/atom

=====

(20)
Below is an optimized crystal structure of Pr6Sb3Se2I, with properties calculated at the PBE-GGA level.

Cell lengths 9.968, 9.968, 8.921 Å; angles 101.82, 101.82, 25.95 degrees
Positions (direct):
Pr1 0.009 0.009 0.272
Pr2 0.322 0.322 0.899
Pr3 0.330 0.330 0.421
Pr4 0.670 0.670 0.579
Pr5 0.678 0.678 0.101
Pr6 0.991 0.991 0.728
Sb1 0.159 0.159 0.835
Sb2 0.500 0.500 0.500
Sb3 0.841 0.841 0.165
Se1 0.169 0.169 0.335
Se2 0.831 0.831 0.665
I1 0.500 0.500 0.000

Values from the calculation:
calculated volume = 379 Å³/cell
electronic total energy = -5.500 eV/atom
magnetic moment = 0.000 μB per cell
uncorrected formation energy = -1.370 eV/atom